Below is an optimized crystal structure of CdIn2Cu9, with properties calculated at the PBE level.

a b c (Å): 5.036 8.399 8.399
angles (deg): 90.00 90.00 90.00
Fractional positions:
Cu (0.246, 0.824, 0.324)
Cu (0.500, 0.797, 0.064)
Cu (0.500, 0.436, 0.703)
Cu (0.754, 0.176, 0.676)
In (0.000, 0.127, 0.373)
Cu (0.500, 0.936, 0.797)
Cu (0.246, 0.324, 0.176)
Cu (0.500, 0.564, 0.297)
Cu (0.500, 0.000, 0.500)
In (0.000, 0.627, 0.127)
Cu (0.754, 0.676, 0.824)
Cu (0.500, 0.064, 0.203)
Cu (0.500, 0.703, 0.564)
Cu (0.500, 0.203, 0.936)
Cu (0.500, 0.500, 0.000)
Cu (0.754, 0.824, 0.324)
In (0.000, 0.873, 0.627)
Cd (0.000, 0.000, 0.000)
Cu (0.246, 0.676, 0.824)
Cu (0.246, 0.176, 0.676)
Cu (0.500, 0.297, 0.436)
Cd (0.000, 0.500, 0.500)
In (0.000, 0.373, 0.873)
Cu (0.754, 0.324, 0.176)

Results
Distance to the lowest polymorph of the same formula: 12 meV/atom
ρ: 8.54 g cm⁻³
DOS(E_F): 9.640 states/eV per cell
M_tot: 0.00 Bohr magnetons per cell
Symmetry: P4/mbm

***

Below is an optimized crystal structure of CaFe2As, with properties calculated at the PBE level.

a b c (Å): 3.330 3.330 6.275
angles (deg): 90.00 90.00 90.02
Fractional positions:
Fe (0.000, 0.000, 0.431)
As (0.500, 0.500, 0.250)
Fe (0.000, 0.000, 0.069)
Ca (0.500, 0.500, 0.750)

Results
ρ: 5.41 g cm⁻³
DOS(E_F): 4.361 states/eV per cell
M_tot: 4.53 Bohr magnetons per cell
Symmetry: P4/mmm

***

Below is an optimized crystal structure of Rb2SnPbS4, with properties calculated at the PBE level.

a b c (Å): 8.662 8.662 8.972
angles (deg): 121.19 121.19 90.20
Fractional positions:
Rb (0.500, 0.000, 0.500)
Pb (0.000, 0.500, 0.000)
S (0.757, 0.743, 0.951)
S (0.277, 0.693, 0.485)
S (0.243, 0.257, 0.451)
Rb (0.500, 0.000, 0.000)
S (0.757, 0.743, 0.549)
Rb (0.500, 0.500, 0.000)
S (0.193, 0.777, 0.985)
Sn (0.500, 0.500, 0.500)
Sn (0.000, 0.000, 0.000)
Rb (0.000, 0.000, 0.500)
Pb (0.000, 0.500, 0.500)
S (0.723, 0.307, 0.515)
S (0.243, 0.257, 0.049)
S (0.807, 0.223, 0.015)

Results
ρ: 4.54 g cm⁻³
M_tot: 0.00 Bohr magnetons per cell
Formation energy from raw total energies: -5.6 eV per formula unit
Symmetry: Imma

***

Below is an optimized crystal structure of Dy5Er2In, with properties calculated at the PBE level.

a b c (Å): 8.602 8.602 8.856
angles (deg): 119.05 119.05 90.00
Fractional positions:
Dy (0.183, 0.989, 0.672)
In (0.250, 0.250, 0.500)
In (0.750, 0.750, 0.500)
Dy (0.511, 0.317, 0.328)
Dy (0.000, 0.000, 0.000)
Dy (0.989, 0.489, 0.672)
Dy (0.489, 0.683, 0.672)
Dy (0.317, 0.817, 0.328)
Er (0.359, 0.859, 0.000)
Dy (0.683, 0.183, 0.672)
Dy (0.011, 0.511, 0.328)
Er (0.141, 0.359, 0.000)
Er (0.641, 0.141, 0.000)
Dy (0.500, 0.500, 0.000)
Er (0.859, 0.641, 0.000)
Dy (0.817, 0.011, 0.328)

Results
Distance to the lowest polymorph of the same formula: 117 meV/atom
ρ: 8.80 g cm⁻³
DOS(E_F): 23.232 states/eV per cell
M_tot: 0.00 Bohr magnetons per cell
Symmetry: I4/mcm

***

Computed raw total energy (eV/cell) in order:
-85.3, -22.8, -63.5, -69.7